No. 1
Density functional theory data (PBE) for an optimized crystal structure of PmNd3Ho6.

abc: 9.9273 9.9273 11.6523
angles: 90.00 90.00 120.00
Closest atoms and distances in Å follow each position.
Space group R3 (No. 146, hexagonal axes)
One atom of each set of equivalent atoms:
Pm  0.0000  0.0000  0.0000 [3 per cell]  2 Nd 2.91
Nd  0.0000  0.0000  0.2498 [3 per cell]  1 Pm 2.91, 1 Nd 2.92, 3 Ho 3.25
Nd  0.0000  0.0000  0.5000 [3 per cell]  2 Nd 2.92
Nd  0.0000  0.0000  0.7505 [3 per cell]  1 Pm 2.91, 1 Nd 2.92, 3 Ho 3.25
Ho  0.0007  0.3272  0.7511 [9 per cell]  2 Nd 3.25-3.48, 1 Pm 3.48
Ho  0.0067  0.6672  0.9178 [9 per cell]  2 Nd 3.25-3.49, 1 Pm 3.47

- DOS(E_F): 2.10 states/eV per atom
- Total moment: 0.00 μB per cell
- E above lowest polymorph: 144.2 meV per atom
- DFT formation energy: 0.29 eV per atom
- Raw total energy: -4.3596 eV per atom

No. 2
Density functional theory data (PBE) for an optimized crystal structure of Pm3Nd2Ho5.

abc: 10.7009 16.2082 9.3715
angles: 90.00 124.75 90.00
Closest atoms and distances in Å follow each position.
Space group C2/c (No. 15)
One atom of each set of equivalent atoms:
Pm  0.0000  0.2276  0.2500 [4 per cell]  1 Ho 3.25, 4 Nd 3.32-3.57, 2 Pm 3.58
Pm  0.1546  0.1222  0.0474 [8 per cell]  1 Nd 3.12, 4 Ho 3.31-3.46
Nd  0.1431  0.3763  0.5473 [8 per cell]  2 Pm 3.12-3.32, 3 Ho 3.31-3.48
Ho  0.0000  0.0271  0.2500 [4 per cell]  5 Pm 3.25-3.51, 2 Nd 3.52, 2 Ho 3.54
Ho  0.0000  0.2700  0.7500 [4 per cell]  4 Pm 3.31-3.51, 3 Ho 3.34-3.64, 2 Nd 3.50
Ho  0.0000  0.4759  0.7500 [4 per cell]  4 Nd 3.31-3.45, 3 Ho 3.34-3.54, 2 Pm 3.43
Ho  0.2385  0.1170  0.7303 [8 per cell]  3 Pm 3.46-3.69, 2 Nd 3.48-3.59, 3 Ho 3.54-3.64

- DOS(E_F): 1.64 states/eV per atom
- Total moment: 0.00 μB per cell
- E above lowest polymorph: 0.0 meV per atom
- DFT formation energy: 0.18 eV per atom
- Raw total energy: -4.4852 eV per atom

No. 3
Density functional theory data (PBE) for an optimized crystal structure of Pm2Nd6Ho.

abc: 9.5234 17.9513 3.6705
angles: 90.00 90.00 90.00
Closest atoms and distances in Å follow each position.
Space group Cmmm (No. 65)
One atom of each set of equivalent atoms:
Pm  0.0000  0.1765  0.0000 [4 per cell]  8 Nd 3.60-3.79, 2 Ho 3.66, 2 Pm 3.67
Nd  0.1752  0.3358  0.5000 [8 per cell]  6 Nd 3.34-3.67, 2 Pm 3.60
Nd  0.1844  0.5000  0.0000 [4 per cell]  7 Nd 3.47-3.67, 2 Ho 3.52
Ho  0.0000  0.0000  0.5000 [2 per cell]  4 Nd 3.52, 4 Pm 3.66, 2 Ho 3.67

- DOS(E_F): 1.45 states/eV per atom
- Total moment: 0.00 μB per cell
- E above lowest polymorph: 49.5 meV per atom
- DFT formation energy: 0.13 eV per atom
- Raw total energy: -4.6131 eV per atom

No. 4
Density functional theory data (PBE) for an optimized crystal structure of PmNd12Ho5.

abc: 15.4042 15.4448 5.1504
angles: 90.00 90.00 90.00
Closest atoms and distances in Å follow each position.
Space group Cmmm (No. 65)
One atom of each set of equivalent atoms:
Pm  0.0000  0.0000  0.0000 [2 per cell]  8 Nd 3.63, 4 Ho 3.65
Nd  0.1643  0.5000  0.0000 [4 per cell]  4 Ho 3.61, 8 Nd 3.64-3.68
Nd  0.1655  0.1671  0.0000 [8 per cell]  3 Ho 3.62, 1 Pm 3.63, 8 Nd 3.64-3.68
Nd  0.1647  0.3335  0.5000 [8 per cell]  4 Ho 3.61, 8 Nd 3.64-3.68
Nd  0.1662  0.0000  0.5000 [4 per cell]  2 Pm 3.63, 2 Ho 3.64, 8 Nd 3.65-3.67
Ho  0.0000  0.1675  0.5000 [4 per cell]  8 Nd 3.61-3.64, 2 Ho 3.63, 2 Pm 3.65
Ho  0.0000  0.3332  0.0000 [4 per cell]  8 Nd 3.61-3.62, 4 Ho 3.63-3.64
Ho  0.0000  0.5000  0.5000 [2 per cell]  8 Nd 3.61, 4 Ho 3.64

- DOS(E_F): 1.55 states/eV per atom
- Total moment: 0.00 μB per cell
- DFT formation energy: 0.02 eV per atom
- Raw total energy: -4.6951 eV per atom

No. 5
Density functional theory data (PBE) for an optimized crystal structure of Pm4NdHo4.

abc: 10.8039 10.8039 5.0695
angles: 90.00 90.00 90.00
Closest atoms and distances in Å follow each position.
Space group I4/mmm (No. 139)
One atom of each set of equivalent atoms:
Pm  0.0000  0.3317  0.0000 [8 per cell]  1 Nd 3.58, 6 Ho 3.58-3.60, 5 Pm 3.61-3.64
Nd  0.0000  0.0000  0.0000 [2 per cell]  4 Pm 3.58, 8 Ho 3.60
Ho  0.1669  0.1669  0.5000 [8 per cell]  6 Pm 3.58-3.60, 4 Ho 3.59-3.61, 2 Nd 3.60

- DOS(E_F): 1.42 states/eV per atom
- Total moment: 0.00 μB per cell
- DFT formation energy: 0.02 eV per atom
- Raw total energy: -4.6587 eV per atom

No. 6
Density functional theory data (PBE) for an optimized crystal structure of Pm12NdHo5.

abc: 12.1768 17.0140 5.8125
angles: 90.00 90.04 90.00
Closest atoms and distances in Å follow each position.
Space group C2/m (No. 12)
One atom of each set of equivalent atoms:
Pm  0.1503  0.1794  0.0045 [8 per cell]  7 Pm 3.42-3.81, 3 Ho 3.49-3.63, 1 Nd 3.56
Pm  0.1499  0.3205  0.4955 [8 per cell]  7 Pm 3.42-3.81, 4 Ho 3.49-3.61
Pm  0.1968  0.5000  0.0421 [4 per cell]  2 Pm 3.15-3.16, 2 Ho 3.35
Pm  0.2024  0.0000  0.4565 [4 per cell]  2 Pm 3.15-3.16, 2 Ho 3.40
Nd  0.0000  0.0000  0.0000 [2 per cell]  8 Pm 3.56-3.70, 4 Ho 3.73
Ho  0.0000  0.1372  0.5000 [4 per cell]  8 Pm 3.40-3.61, 2 Nd 3.73
Ho  0.0000  0.3633  0.0000 [4 per cell]  8 Pm 3.35-3.63, 2 Ho 3.72
Ho  0.0000  0.5000  0.5000 [2 per cell]  10 Pm 3.56-3.96, 4 Ho 3.72

- DOS(E_F): 1.48 states/eV per atom
- Total moment: 0.00 μB per cell
- DFT formation energy: 0.08 eV per atom
- Raw total energy: -4.6204 eV per atom